Record 1
Co2AsIr: single point on PBEsol structure, meta-GGA SCAN.

Computed properties:
Electronic total energy   -31.12 eV per atom
Density   11.848 g/cm3
Calculated formation energy   34.41 kJ/mol of atoms

Cell lengths 3.5665, 3.5665, 8.8513 Å; angles 101.62, 101.62, 90.00 degrees
Each line ends with the local moment (μB).
Atoms (fractional coordinates):
Co 0.8544 0.3750 0.2500  1.54
Co 0.3956 0.8750 0.2500  1.54
Co 0.6250 0.6044 0.7500  1.54
Co 0.1250 0.1456 0.7500  1.54
As 0.5000 0.5000 0.0000  -0.03
As 0.7500 0.2500 0.5000  -0.03
Ir 0.2500 0.7500 0.5000  0.24
Ir 0.0000 0.0000 0.0000  0.24

---

Record 2
CoAsIr2: single point on PBEsol structure, meta-GGA SCAN.

Computed properties:
Electronic total energy   -44.67 eV per atom
Density   16.059 g/cm3
Calculated formation energy   24.04 kJ/mol of atoms

Cell lengths 3.7856, 3.7856, 4.5988 Å; angles 114.30, 114.30, 90.00 degrees
Each line ends with the local moment (μB).
Atoms (fractional coordinates):
As 0.5000 0.5000 0.0000  0.02
Ir 0.7500 0.2500 0.5000  0.05
Ir 0.0000 0.0000 0.0000  0.20
Co 0.2500 0.7500 0.5000  1.73

---

Please write out number 2 again, unchanged.
CoAsIr2: single point on PBEsol structure, meta-GGA SCAN.

Computed properties:
Electronic total energy   -44.67 eV per atom
Density   16.059 g/cm3
Calculated formation energy   24.04 kJ/mol of atoms

Cell lengths 3.7856, 3.7856, 4.5988 Å; angles 114.30, 114.30, 90.00 degrees
Each line ends with the local moment (μB).
Atoms (fractional coordinates):
As 0.5000 0.5000 0.0000  0.02
Ir 0.7500 0.2500 0.5000  0.05
Ir 0.0000 0.0000 0.0000  0.20
Co 0.2500 0.7500 0.5000  1.73

---

> What is the calculated formation energy in the second record?

24.04 kJ/mol of atoms